Computed, not measured: a relaxed structure of BaNdDy4Se8 at the PBE level of DFT. Values from VASP.

Summary:
The calculation puts the density of states at the Fermi level at 4.13 states/eV per cell. For the electronic total energy, the calculation gives -5.559 eV/atom. Its symmetry is No. 160. The calculation puts the formation energy from raw total energies at -171 kJ/mol of atoms.

Quantum ESPRESSO input file:
```
&SYSTEM
  ibrav = 0, nat = 14, ntyp = 4
/
ATOMIC_SPECIES
Ba 137.33 Ba.upf
Nd 144.24 Nd.upf
Dy 162.50 Dy.upf
Se 78.96 Se.upf
ATOMIC_POSITIONS angstrom
Ba 0.0000 0.0000 0.0000
Nd 0.0000 0.0000 13.4933
Dy -2.1765 -1.2566 9.8681
Dy 0.0000 0.0000 5.4266
Dy 2.1765 -1.2566 9.8681
Dy 0.0000 2.5132 9.8681
Se 0.0000 -2.3818 11.5659
Se -2.0627 1.1909 11.5659
Se 0.0000 0.0000 8.2529
Se -1.8914 -1.0920 15.4297
Se 2.0627 1.1909 11.5659
Se 0.0000 0.0000 18.4201
Se 1.8914 -1.0920 15.4297
Se 0.0000 2.1841 15.4297
CELL_PARAMETERS angstrom
4.3035 2.4846 7.1450
-4.3035 2.4846 7.1450
0.0000 -4.9692 7.1450
```

---

Computed, not measured: a relaxed structure of Ba3Nd3DySe8 at the PBE level of DFT. Values from VASP.

Summary:
The calculation puts the density of states at the Fermi level at 3.80 states/eV per cell. For the electronic total energy, the calculation gives -5.443 eV/atom. Its symmetry is No. 166. The calculation puts the formation energy from raw total energies at -187 kJ/mol of atoms.

Quantum ESPRESSO input file:
```
&SYSTEM
  ibrav = 0, nat = 15, ntyp = 4
/
ATOMIC_SPECIES
Ba 137.33 Ba.upf
Nd 144.24 Nd.upf
Dy 162.50 Dy.upf
Se 78.96 Se.upf
ATOMIC_POSITIONS angstrom
Ba -2.1579 -1.2459 7.5695
Ba -2.1579 1.2459 15.1390
Ba 0.0000 2.4917 7.5695
Nd -4.3158 0.0000 11.3542
Nd -2.1579 1.2459 3.7847
Nd 2.1579 1.2459 3.7847
Dy 0.0000 0.0000 11.3542
Se 0.0000 0.0000 5.4749
Se -2.1045 -1.2150 12.9804
Se 0.0000 -2.4301 9.7281
Se -2.1045 1.2150 9.7281
Se 2.1045 -1.2150 12.9804
Se 0.0000 2.4301 12.9804
Se 2.1045 1.2150 9.7281
Se 0.0000 0.0000 17.2336
CELL_PARAMETERS angstrom
4.3158 2.4917 7.5695
-4.3158 2.4917 7.5695
0.0000 -4.9834 7.5695
```

---

Computed, not measured: a relaxed structure of Ba3Nd2DyTe6 at the PBE level of DFT. Values from VASP.

Summary:
The calculation puts the density of states at the Fermi level at 5.56 states/eV per cell. For the electronic total energy, the calculation gives -4.788 eV/atom. Its symmetry is No. 12. The calculation puts the formation energy from raw total energies at -150 kJ/mol of atoms.

Quantum ESPRESSO input file:
```
&SYSTEM
  ibrav = 0, nat = 12, ntyp = 4
/
ATOMIC_SPECIES
Ba 137.33 Ba.upf
Nd 144.24 Nd.upf
Dy 162.50 Dy.upf
Te 127.60 Te.upf
ATOMIC_POSITIONS angstrom
Ba 0.0000 0.0000 0.0000
Ba 4.0220 2.3602 0.0000
Ba 4.0220 -2.3602 0.0000
Nd 2.6819 4.6528 3.9319
Nd 2.6819 -4.6528 3.9319
Dy 2.6819 0.0000 3.9319
Te 1.3738 2.2671 2.2004
Te 0.0655 0.0000 5.6883
Te 1.3738 -2.2671 2.2004
Te 3.9901 2.2671 5.6633
Te 5.2983 0.0000 2.1754
Te 3.9901 -2.2671 5.6633
CELL_PARAMETERS angstrom
4.0220 -6.9533 0.0000
4.0220 6.9533 0.0000
-2.6802 0.0000 7.8637
```

---

Computed, not measured: a relaxed structure of Ba3NdDy2Te6 at the PBE level of DFT. Values from VASP.

Summary:
The calculation puts the density of states at the Fermi level at 5.44 states/eV per cell. For the electronic total energy, the calculation gives -4.753 eV/atom. Its symmetry is No. 12. The calculation puts the formation energy from raw total energies at -148 kJ/mol of atoms.

Quantum ESPRESSO input file:
```
&SYSTEM
  ibrav = 0, nat = 12, ntyp = 4
/
ATOMIC_SPECIES
Ba 137.33 Ba.upf
Nd 144.24 Nd.upf
Dy 162.50 Dy.upf
Te 127.60 Te.upf
ATOMIC_POSITIONS angstrom
Ba 0.0000 0.0000 0.0000
Ba 3.9946 2.2592 0.0000
Ba 3.9946 -2.2592 0.0000
Nd 2.6636 0.0000 3.9195
Dy 2.6636 4.5880 3.9195
Dy 2.6636 -4.5880 3.9195
Te 1.3005 2.3533 2.2026
Te -0.0628 0.0000 5.6110
Te 1.3005 -2.3533 2.2026
Te 4.0267 2.3533 5.6364
Te 5.3900 0.0000 2.2280
Te 4.0267 -2.3533 5.6364
CELL_PARAMETERS angstrom
3.9946 -6.9061 0.0000
3.9946 6.9061 0.0000
-2.6621 0.0000 7.8389
```

---

Computed, not measured: a relaxed structure of BaDy2Ni at the PBE level of DFT. Values from VASP.

Summary:
The calculation puts the density of states at the Fermi level at 12.82 states/eV per cell. For the electronic total energy, the calculation gives -4.214 eV/atom. Its symmetry is No. 166. The value obtained for the calculated formation energy is 0.01 eV/atom.

Quantum ESPRESSO input file:
```
&SYSTEM
  ibrav = 0, nat = 12, ntyp = 3
/
ATOMIC_SPECIES
Ba 137.33 Ba.upf
Dy 162.50 Dy.upf
Ni 58.69 Ni.upf
ATOMIC_POSITIONS angstrom
Ba 0.0000 0.0000 0.0000
Ba 0.0000 2.2843 21.1815
Ba 1.9783 1.1421 10.5907
Dy 0.0000 0.0000 3.8744
Dy 0.0000 0.0000 27.8978
Dy 0.0000 2.2843 17.3071
Dy 0.0000 2.2843 25.0558
Dy 1.9783 1.1421 6.7164
Dy 1.9783 1.1421 14.4651
Ni 0.0000 0.0000 15.8861
Ni 0.0000 2.2843 5.2954
Ni 1.9783 1.1421 26.4768
CELL_PARAMETERS angstrom
3.9565 0.0000 0.0000
-1.9783 3.4264 0.0000
0.0000 0.0000 31.7722
```

---

Computed, not measured: a relaxed structure of BaDyNi2P2 at the PBE level of DFT. Values from VASP.

Summary:
The calculation puts the density of states at the Fermi level at 3.52 states/eV per cell. For the electronic total energy, the calculation gives -5.811 eV/atom. Its symmetry is No. 164. The value obtained for the calculated formation energy is -0.99 eV/atom.

Quantum ESPRESSO input file:
```
&SYSTEM
  ibrav = 0, nat = 6, ntyp = 4
/
ATOMIC_SPECIES
Ba 137.33 Ba.upf
Dy 162.50 Dy.upf
Ni 58.69 Ni.upf
P 30.97 P.upf
ATOMIC_POSITIONS angstrom
Ba 0.0000 0.0000 0.0000
Dy 0.0000 0.0000 4.3249
Ni 0.0000 2.2837 6.2219
Ni 1.9777 1.1418 2.4278
P 0.0000 2.2837 2.4543
P 1.9777 1.1418 6.1955
CELL_PARAMETERS angstrom
3.9555 0.0000 0.0000
-1.9777 3.4255 0.0000
0.0000 0.0000 8.6498
```